This record from the Alexandria database describes a geometry-optimized MgNi2SbO6 structure. The functional is PBE+U.

## Properties
Crystal system   triclinic
Symmetry   P1
DFT total energy   -5.528 eV per atom
Total magnetization   3.000 μB per cell

Unit cell a=5.1454 b=5.1505 c=5.5262 alpha=62.31 beta=62.28 gamma=59.94
With the nearest neighbours (Å) after each atom.
Element x y z (fractional)
1 O 0.7189 0.1236 0.7552  2 Ni 2.01-2.11, 1 Sb 2.04, 1 Mg 2.06
2 O 0.4024 0.7185 0.7553  2 Ni 2.01-2.10, 1 Sb 2.05, 1 Mg 2.05
3 O 0.9239 0.6087 0.2447  1 Sb 1.99, 2 Ni 2.04-2.07, 1 Mg 2.18
4 O 0.6094 0.2225 0.2438  1 Sb 2.00, 2 Ni 2.04-2.06, 1 Mg 2.19
5 O 0.1242 0.4029 0.7546  2 Ni 2.02-2.10, 1 Sb 2.04, 1 Mg 2.05
6 O 0.2227 0.9244 0.2433  1 Sb 2.00, 2 Ni 2.04-2.06, 1 Mg 2.19
7 Sb 0.3178 0.3185 0.0452  6 O 1.99-2.05
8 Ni 0.0135 0.0136 0.9594  6 O 2.01-2.07
9 Ni 0.5183 0.5183 0.4453  6 O 2.04-2.11
10 Mg 0.8104 0.8104 0.5683  6 O 2.05-2.19